Compound: SrLa3Pt
Source: Alexandria
Functional: PBE
Structure: optimized geometry

electronic total energy: -3.39 eV/atom
energy above the lowest structure with this stoichiometry: 1543 meV per atom
volume: 35.716 Å³/atom
formation energy from the elements: 5.54 eV/f.u.

CIF file:
```
data_SrLa3Pt
_chemical_formula_sum 'Sr1 La3 Pt1'
_cell_length_a 5.6313
_cell_length_b 5.6313
_cell_length_c 5.6313
_cell_angle_alpha 90.00
_cell_angle_beta 90.00
_cell_angle_gamma 90.00
_space_group_name_H-M_alt 'P m -3 m'
_space_group_IT_number 221
_space_group_name_Hall '-P 4 2 3'
loop_
_atom_site_label
_atom_site_type_symbol
_atom_site_fract_x
_atom_site_fract_y
_atom_site_fract_z
_atom_site_occupancy
Sr1 Sr 0.0000 0.0000 0.0000 1
La1 La 0.0000 0.0000 0.5000 1
Pt1 Pt 0.5000 0.5000 0.5000 1
```

***

Compound: Sr2La3Pt4
Source: Alexandria
Functional: PBE
Structure: optimized geometry

electronic total energy: -5.71 eV/atom
volume: 27.431 Å³/atom
formation energy from the elements: -9.10 eV/f.u.

CIF file:
```
data_Sr2La3Pt4
_chemical_formula_sum 'Sr4 La6 Pt8'
_cell_length_a 8.1202
_cell_length_b 8.0690
_cell_length_c 8.0263
_cell_angle_alpha 90.00
_cell_angle_beta 110.13
_cell_angle_gamma 90.00
_space_group_name_H-M_alt 'P 1 21/c 1'
_space_group_IT_number 14
_space_group_name_Hall '-P 2ybc'
loop_
_atom_site_label
_atom_site_type_symbol
_atom_site_fract_x
_atom_site_fract_y
_atom_site_fract_z
_atom_site_occupancy
Sr1 Sr 0.1945 0.1772 0.0764 1
La1 La 0.2401 0.6622 0.2500 1
La2 La 0.5000 0.0000 0.5000 1
Pt1 Pt 0.0968 0.5408 0.8703 1
Pt2 Pt 0.4932 0.6295 0.6272 1
```

***

Compound: SrLa3Pt
Source: Alexandria
Functional: PBE
Structure: optimized geometry

electronic total energy: -4.91 eV/atom
energy above the lowest structure with this stoichiometry: 29 meV per atom
volume: 36.367 Å³/atom
formation energy from the elements: -2.03 eV/f.u.

CIF file:
```
data_SrLa3Pt
_chemical_formula_sum 'Sr2 La6 Pt2'
_cell_length_a 6.3170
_cell_length_b 8.7472
_cell_length_c 6.7727
_cell_angle_alpha 90.00
_cell_angle_beta 103.65
_cell_angle_gamma 90.00
_space_group_name_H-M_alt 'P 1 21/m 1'
_space_group_IT_number 11
_space_group_name_Hall '-P 2yb'
loop_
_atom_site_label
_atom_site_type_symbol
_atom_site_fract_x
_atom_site_fract_y
_atom_site_fract_z
_atom_site_occupancy
Sr1 Sr 0.1670 0.2500 0.2053 1
La1 La 0.2198 0.7500 0.3564 1
La2 La 0.3142 0.0288 0.7453 1
Pt1 Pt 0.3961 0.7500 0.9873 1
```

***

Compound: SrLa3Pt
Source: Alexandria
Functional: PBE
Structure: optimized geometry

electronic total energy: -4.66 eV/atom
energy above the lowest structure with this stoichiometry: 272 meV per atom
volume: 38.313 Å³/atom
formation energy from the elements: -0.81 eV/f.u.

CIF file:
```
data_SrLa3Pt
_chemical_formula_sum 'Sr2 La6 Pt2'
_cell_length_a 3.9747
_cell_length_b 7.4310
_cell_length_c 12.9718
_cell_angle_alpha 90.00
_cell_angle_beta 90.00
_cell_angle_gamma 90.00
_space_group_name_H-M_alt 'A m m 2'
_space_group_IT_number 38
_space_group_name_Hall 'A 2 -2'
loop_
_atom_site_label
_atom_site_type_symbol
_atom_site_fract_x
_atom_site_fract_y
_atom_site_fract_z
_atom_site_occupancy
Sr1 Sr 0.0000 0.0000 0.0000 1
La1 La 0.0000 0.0000 0.4184 1
La2 La 0.5000 0.2439 0.7371 1
Pt1 Pt 0.5000 0.0000 0.5726 1
```

***

Compound: SrLa3Pt
Source: Alexandria
Functional: PBE
Structure: optimized geometry

electronic total energy: -3.96 eV/atom
energy above the lowest structure with this stoichiometry: 978 meV per atom
volume: 51.847 Å³/atom
formation energy from the elements: 2.72 eV/f.u.

CIF file:
```
data_SrLa3Pt
_chemical_formula_sum 'Sr3 La9 Pt3'
_cell_length_a 6.6565
_cell_length_b 6.6565
_cell_length_c 20.2672
_cell_angle_alpha 90.00
_cell_angle_beta 90.00
_cell_angle_gamma 120.00
_space_group_name_H-M_alt 'R 3 m'
_space_group_IT_number 160
_space_group_name_Hall 'R 3 -2"'
loop_
_atom_site_label
_atom_site_type_symbol
_atom_site_fract_x
_atom_site_fract_y
_atom_site_fract_z
_atom_site_occupancy
Sr1 Sr 0.0000 0.0000 0.0000 1
La1 La 0.1696 0.3391 0.8389 1
Pt1 Pt 0.0000 0.0000 0.2759 1
```

***

Compound: SrLa3Pt
Source: Alexandria
Functional: PBE
Structure: optimized geometry

electronic total energy: -4.32 eV/atom
energy above the lowest structure with this stoichiometry: 616 meV per atom
volume: 48.665 Å³/atom
formation energy from the elements: 0.91 eV/f.u.

CIF file:
```
data_SrLa3Pt
_chemical_formula_sum 'Sr2 La6 Pt2'
_cell_length_a 3.7715
_cell_length_b 6.8213
_cell_length_c 18.9166
_cell_angle_alpha 90.00
_cell_angle_beta 90.00
_cell_angle_gamma 90.00
_space_group_name_H-M_alt 'A m m 2'
_space_group_IT_number 38
_space_group_name_Hall 'A 2 -2'
loop_
_atom_site_label
_atom_site_type_symbol
_atom_site_fract_x
_atom_site_fract_y
_atom_site_fract_z
_atom_site_occupancy
Sr1 Sr 0.0000 0.0000 0.0000 1
La1 La 0.0000 0.2422 0.1767 1
La2 La 0.5000 0.0000 0.8071 1
Pt1 Pt 0.5000 0.0000 0.6121 1
```